{
  "formula": "LiYSe2",
  "functional": "GGA-PBE",
  "state": "relaxed",
  "lattice": [[-3.0668, 3.0668, 6.3211], [3.0668, -3.0668, 6.3211], [3.0668, 3.0668, -6.3211]],
  "species": ["Li", "Li", "Y", "Y", "Se", "Se", "Se", "Se"],
  "fractional_positions": [[0.0000, 0.0000, 0.0000], [0.7500, 0.2500, 0.5000], [0.2500, 0.7500, 0.5000], [0.5000, 0.5000, 0.0000], [0.1095, 0.6250, 0.9845], [0.3750, 0.3595, 0.4845], [0.6405, 0.1250, 0.0155], [0.8750, 0.8905, 0.5155]],
  "volume_a3_per_atom": 29.726,
  "e_form_raw_kj_per_mol_atoms": -145.3,
  "density_g_cm3": 3.54
}